Density functional theory data (PBE-GGA) for a geometry-optimized TiTl structure.

Values from the calculation:
E_tot = -3.83 eV/atom
energy relative to the elements = 2.60 eV/f.u.

Geometry as CIF:
```
data_TiTl
_symmetry_space_group_name_H-M 'P 1'
_symmetry_Int_Tables_number 1
_symmetry_space_group_name_Hall 'P 1'
_cell_length_a 7.6793
_cell_length_b 7.6793
_cell_length_c 7.6793
_cell_angle_alpha 90.00
_cell_angle_beta 90.00
_cell_angle_gamma 90.00
loop_
_atom_site_label
_atom_site_type_symbol
_atom_site_fract_x
_atom_site_fract_y
_atom_site_fract_z
_atom_site_occupancy
Ti1 Ti 0.2500 0.5000 0.0000 1
Ti2 Ti 0.7500 0.5000 0.0000 1
Ti3 Ti 0.5000 0.0000 0.2500 1
Ti4 Ti 0.5000 0.0000 0.7500 1
Ti5 Ti 0.0000 0.2500 0.5000 1
Ti6 Ti 0.0000 0.7500 0.5000 1
Tl1 Tl 0.2500 0.0000 0.5000 1
Tl2 Tl 0.7500 0.0000 0.5000 1
Tl3 Tl 0.0000 0.5000 0.2500 1
Tl4 Tl 0.0000 0.5000 0.7500 1
Tl5 Tl 0.5000 0.2500 0.0000 1
Tl6 Tl 0.5000 0.7500 0.0000 1
```